[1]
An optimized crystal structure of LiTlBr2. Source: Alexandria, functional GGA-PBE.

Lattice parameters (Å, degrees): 4.309 4.309 24.165 90.00 90.00 120.00
Fractional coordinates of all 12 atoms:
Li  0.000  0.000  0.180
Li  0.333  0.667  0.847
Li  0.667  0.333  0.513
Tl  0.000  0.000  0.330
Tl  0.333  0.667  0.997
Tl  0.667  0.333  0.663
Br  0.000  0.000  0.075
Br  0.333  0.667  0.742
Br  0.667  0.333  0.408
Br  0.000  0.000  0.883
Br  0.333  0.667  0.550
Br  0.667  0.333  0.216

Calculated values
Energy above the lowest structure with this stoichiometry   0.0290 eV/atom

[2]
An optimized crystal structure of LiTlBr2. Source: Alexandria, functional GGA-PBE.

Lattice parameters (Å, degrees): 4.359 4.359 7.884 90.00 90.00 120.00
Fractional coordinates of all 4 atoms:
Li  0.667  0.333  0.883
Tl  0.000  0.000  0.326
Br  0.333  0.667  0.992
Br  0.667  0.333  0.564

Calculated values
Energy above the lowest structure with this stoichiometry   0.0202 eV/atom

[3]
An optimized crystal structure of LiTl4Br5. Source: Alexandria, functional GGA-PBE.

Lattice parameters (Å, degrees): 4.523 4.523 19.697 83.41 83.41 60.00
Fractional coordinates of all 10 atoms:
Li  0.500  0.500  0.500
Tl  0.893  0.893  0.320
Tl  0.298  0.298  0.107
Tl  0.702  0.702  0.893
Tl  0.107  0.107  0.680
Br  0.404  0.404  0.787
Br  0.000  0.000  0.000
Br  0.596  0.596  0.213
Br  0.809  0.809  0.572
Br  0.191  0.191  0.428

[4]
An optimized crystal structure of LiTlBr2. Source: Alexandria, functional GGA-PBE.

Lattice parameters (Å, degrees): 4.253 3.799 7.581 90.00 97.71 90.00
Fractional coordinates of all 4 atoms:
Li  0.500  0.000  0.500
Tl  0.000  0.000  0.000
Br  0.432  0.500  0.733
Br  0.568  0.500  0.267

Calculated values
Energy above the lowest structure with this stoichiometry   0.0583 eV/atom

[5]
An optimized crystal structure of LiTlBr. Source: Alexandria, functional GGA-PBE.

Lattice parameters (Å, degrees): 5.288 5.288 5.288 60.00 60.00 60.00
Fractional coordinates of all 3 atoms:
Br  0.000  0.000  0.000
Li  0.500  0.500  0.500
Tl  0.250  0.250  0.250

Calculated values
Energy above the lowest structure with this stoichiometry   0.5461 eV/atom

[6]
An optimized crystal structure of LiTlBr4. Source: Alexandria, functional GGA-PBE.

Lattice parameters (Å, degrees): 6.594 6.594 6.594 60.00 60.00 60.00
Site moments in Bohr magnetons follow the coordinates.
Fractional coordinates of all 6 atoms:
Li  0.750  0.750  0.750  0.00
Tl  0.000  0.000  0.000  0.00
Br  0.875  0.375  0.375  0.40
Br  0.375  0.375  0.875  0.40
Br  0.375  0.875  0.375  0.40
Br  0.375  0.375  0.375  0.40

Calculated values
Energy above the lowest structure with this stoichiometry   0.6615 eV/atom

[7]
An optimized crystal structure of LiTlBr2. Source: Alexandria, functional GGA-PBE.

Lattice parameters (Å, degrees): 4.333 4.333 23.858 90.00 90.00 120.00
Fractional coordinates of all 12 atoms:
Li  0.000  0.000  0.153
Li  0.333  0.667  0.819
Li  0.667  0.333  0.486
Tl  0.000  0.000  0.671
Tl  0.333  0.667  0.338
Tl  0.667  0.333  0.004
Br  0.000  0.000  0.258
Br  0.333  0.667  0.925
Br  0.667  0.333  0.592
Br  0.000  0.000  0.450
Br  0.333  0.667  0.117
Br  0.667  0.333  0.783

Calculated values
Energy above the lowest structure with this stoichiometry   0.0233 eV/atom

[8]
An optimized crystal structure of LiTlBr2. Source: Alexandria, functional GGA-PBE.

Lattice parameters (Å, degrees): 4.679 4.200 15.917 90.00 106.77 90.00
Fractional coordinates of all 8 atoms:
Li  0.882  0.000  0.222
Li  0.882  0.500  0.722
Tl  0.612  0.000  0.960
Tl  0.612  0.500  0.460
Br  0.799  0.000  0.637
Br  0.799  0.500  0.137
Br  0.036  0.000  0.383
Br  0.036  0.500  0.883

Calculated values
Energy above the lowest structure with this stoichiometry   0.0415 eV/atom

| no. | formation energy without anion corrections (eV/atom) | M_tot (μB/atom) |
| --- | --- | --- |
| 1 | -1.15 | 0.000 |
| 2 | -1.15 | 0.000 |
| 3 | -0.96 | 0.000 |
| 4 | -1.12 | 0.000 |
| 5 | -0.23 | 0.001 |
| 6 | -0.17 | 0.334 |
| 7 | -1.15 | 0.000 |
| 8 | -1.13 | 0.000 |